Below is a relaxed K2TlHg crystal, with properties calculated at the GGA-PBE level.

Calculated values
The energy above the most stable polymorph in this dataset is 111.7 meV/atom. The total energy comes out at -9.995 eV for the cell shown. For the size of the total moment, the calculation gives 0.0 μB per cell. The formation energy comes out at -0.03 eV per atom.

Cell lengths 7.0856, 4.0749, 11.4149 Å; angles 90.00, 102.15, 90.00 degrees
Closest atoms and distances in Å follow each position.
Space group Cm (No. 8)
Asymmetric unit:
K  0.0000  0.0000  0.0000 x2  3 Hg 3.60-3.61, 3 Tl 3.69-3.70
K  0.1704  0.0000  0.5107 x2  3 Hg 3.60-3.61, 3 Tl 3.70-3.71
Tl  0.4183  0.0000  0.2552 x2  6 K 3.69-3.71, 6 Tl 4.07-4.09
Hg  0.0851  0.5000  0.7554 x2  6 K 3.60-3.61

Below is a relaxed CsRbHgH crystal, with properties calculated at the GGA-PBE level.

Calculated values
The total energy comes out at -21.068 eV for the cell shown. For the size of the total moment, the calculation gives 0.0 μB per cell.

Cell lengths 8.6406, 8.6406, 8.6406 Å; angles 90.00, 90.00, 90.00 degrees
Closest atoms and distances in Å follow each position.
Space group F-43m (No. 216)
Asymmetric unit:
Cs  0.0000  0.0000  0.0000 x4  4 H 3.74, 4 Hg 3.74
Rb  0.0000  0.0000  0.5000 x4  4 Hg 3.74, 4 H 3.74
Hg  0.2500  0.2500  0.2500 x4  4 Rb 3.74, 4 Cs 3.74
H  0.2500  0.2500  0.7500 x4  4 Rb 3.74, 4 Cs 3.74

Below is a relaxed Hf2MgAl crystal, with properties calculated at the GGA-PBE level.

Calculated values
The total energy comes out at -25.338 eV for the cell shown. For the size of the total moment, the calculation gives 0.0 μB per cell. The formation energy comes out at -0.02 eV per atom.

Cell lengths 3.3959, 3.3959, 6.9351 Å; angles 90.00, 90.00, 90.00 degrees
Closest atoms and distances in Å follow each position.
Space group P4/mmm (No. 123)
Asymmetric unit:
Hf  0.0000  0.0000  0.2404 x2  4 Al 2.92, 4 Mg 3.00
Mg  0.5000  0.5000  0.5000 x1  8 Hf 3.00
Al  0.5000  0.5000  0.0000 x1  8 Hf 2.92

Below is a relaxed LiPr8Nd5 crystal, with properties calculated at the GGA-PBE level.

Calculated values
The total energy comes out at -122.062 eV for the cell shown. For the size of the total moment, the calculation gives 0.0 μB per cell. The formation energy comes out at 0.21 eV per atom.

Cell lengths 9.8574, 9.8574, 10.3087 Å; angles 90.00, 90.00, 90.00 degrees
Closest atoms and distances in Å follow each position.
Space group I-4 (No. 82)
Asymmetric unit:
Li  0.0000  0.0000  0.0000 x2  4 Pr 3.11
Pr  0.0684  0.8290  0.3458 x8  5 Nd 3.46-3.74, 3 Pr 3.63-3.83
Pr  0.0814  0.6956  0.0059 x8  1 Li 3.11, 2 Nd 3.27-3.44
Nd  0.0000  0.5000  0.2500 x2  8 Pr 3.27-3.46
Nd  0.1002  0.7057  0.6730 x8  8 Pr 3.44-3.74, 2 Nd 3.56

Below is a relaxed CuTc2Mo crystal, with properties calculated at the GGA-PBE level.

Calculated values
The energy above the most stable polymorph in this dataset is 69.2 meV/atom. The total energy comes out at -34.791 eV for the cell shown. For the size of the total moment, the calculation gives 0.0 μB per cell. The formation energy comes out at 0.22 eV per atom.

Cell lengths 2.7366, 3.8792, 5.4258 Å; angles 90.00, 90.00, 90.00 degrees
Closest atoms and distances in Å follow each position.
Space group Pmmm (No. 47)
Asymmetric unit:
Cu  0.0000  0.0000  0.0000 x1  8 Tc 2.71, 2 Mo 2.71, 2 Cu 2.74
Tc  0.5000  0.5000  0.2406 x2  4 Tc 2.61-2.82, 4 Cu 2.71, 4 Mo 2.76
Mo  0.0000  0.0000  0.5000 x1  2 Cu 2.71, 2 Mo 2.74, 8 Tc 2.76

Below is a relaxed TcAg2Sb crystal, with properties calculated at the GGA-PBE level.

Calculated values
The total energy comes out at -36.609 eV for the cell shown. For the size of the total moment, the calculation gives 1.7 μB per cell. The uncorrected formation energy comes out at 0.472 eV/atom.

Cell lengths 5.4770, 9.1748, 2.9524 Å; angles 90.00, 90.00, 90.00 degrees
Closest atoms and distances in Å follow each position.
Space group Cmmm (No. 65)
Asymmetric unit:
Tc  0.0000  0.0000  0.0000 x2  2 Sb 2.74, 2 Tc 2.95, 8 Ag 3.05
Ag  0.2500  0.2500  0.5000 x4  4 Ag 2.74-2.95, 4 Tc 3.05, 4 Sb 3.05
Sb  0.0000  0.5000  0.0000 x2  2 Tc 2.74, 2 Sb 2.95, 8 Ag 3.05